Record 1
CuAgSbTe3: optimized geometry, PBE-GGA.

```
CuAgSbTe3
1.0
4.363 0.000 0.000
0.000 8.484 0.685
0.000 -1.504 8.853
Ag Cu Te Sb
2 2 6 2
Direct
0.250 0.646 0.164
0.750 0.354 0.836
0.750 0.925 0.507
0.250 0.075 0.493
0.750 0.242 0.525
0.250 0.758 0.475
0.250 0.115 0.853
0.750 0.885 0.147
0.250 0.603 0.847
0.750 0.397 0.153
0.750 0.854 0.820
0.250 0.146 0.180
```

Summary:
DOS at the Fermi energy: 0.4732 states/eV/atom
SG: P2_1/m, No. 11
Raw formation energy: -0.05 eV/atom
Total moment: 0.00 μB/atom
Uncorrected energy: -3.4611 eV per atom



Record 2
Rb3MnCr2Cl9: optimized geometry, PBE-GGA.

```
Rb3MnCr2Cl9
1.0
-0.241 6.081 3.702
0.362 -6.239 3.419
8.707 0.429 -0.138
Cr Cl Rb Mn
2 9 3 1
Direct
0.333 0.667 0.163
0.667 0.333 0.837
0.334 0.167 0.668
0.833 0.167 0.668
0.500 0.500 0.000
0.833 0.666 0.668
0.666 0.833 0.332
0.000 0.500 0.000
0.500 0.000 0.000
0.167 0.334 0.332
0.167 0.833 0.332
0.333 0.667 0.666
0.667 0.333 0.334
0.000 0.000 0.000
0.000 0.000 0.500
```

Summary:
DOS at the Fermi energy: 0.1750 states/eV/atom
SG: P-3m1, No. 164
Raw formation energy: -1.40 eV/atom
Total moment: 0.87 μB/atom
Uncorrected energy: -4.5985 eV per atom



Record 3
Ho2Pd5Au5: optimized geometry, PBE-GGA.

```
Ho2Pd5Au5
1.0
-3.132 2.535 2.296
1.176 -0.644 6.998
4.747 5.717 4.846
Ho Au Pd
2 5 5
Direct
0.143 0.491 0.223
0.857 0.509 0.777
0.500 0.500 0.500
0.383 0.219 0.015
0.694 0.031 0.582
0.306 0.969 0.418
0.617 0.781 0.985
0.219 0.753 0.810
0.781 0.247 0.190
0.925 0.761 0.388
0.000 0.000 0.000
0.075 0.239 0.612
```

Summary:
Relative energy among the computed polymorphs: 89 meV per atom
DOS at the Fermi energy: 0.3039 states/eV/atom
ΔE_f: -0.512 eV/atom
SG: C2/m, No. 12
Total moment: 0.00 μB/atom
Uncorrected energy: -4.8037 eV per atom



Record 4
HPt5: optimized geometry, PBE-GGA.

```
HPt5
1.0
3.899 0.000 0.000
0.000 3.896 0.000
0.000 -1.948 5.699
Pt H
5 1
Direct
0.000 0.343 0.686
0.500 0.162 0.324
0.500 0.500 0.000
0.000 0.657 0.314
0.500 0.838 0.676
0.000 0.000 0.000
```

Summary:
Relative energy among the computed polymorphs: 215 meV per atom
DOS at the Fermi energy: 0.7975 states/eV/atom
SG: Cmmm, No. 65
Total moment: 0.00 μB/atom
Uncorrected energy: -5.2646 eV per atom



Record 5
CaCeHo4S8: optimized geometry, PBE-GGA.

```
CaCeHo4S8
1.0
8.074 0.000 0.000
4.037 6.992 0.000
4.037 2.331 6.698
S Ho Ce Ca
8 4 1 1
Direct
0.239 0.239 0.282
0.781 0.245 0.729
0.245 0.781 0.729
0.230 0.751 0.268
0.751 0.751 0.268
0.758 0.758 0.727
0.245 0.245 0.729
0.751 0.230 0.268
0.002 0.002 0.501
0.002 0.495 0.501
0.495 0.002 0.501
0.625 0.625 0.124
0.001 0.001 0.997
0.375 0.375 0.876
```

Summary:
DOS at the Fermi energy: 0.7079 states/eV/atom
SG: R3m, No. 160
Raw formation energy: -1.97 eV/atom
Total moment: 0.10 μB/atom
Uncorrected energy: -6.2055 eV per atom



Record 6
Ti8TcSb2: optimized geometry, PBE-GGA.

```
Ti8TcSb2
1.0
4.646 0.000 0.000
0.000 6.230 -0.188
-2.323 -2.910 6.863
Ti Sb Tc
8 2 1
Direct
0.359 0.112 0.719
0.000 0.755 0.000
0.828 0.828 0.656
0.641 0.394 0.281
0.000 0.245 0.000
0.172 0.172 0.344
0.359 0.606 0.719
0.641 0.888 0.281
0.818 0.318 0.636
0.182 0.682 0.364
0.500 0.000 0.000
```

Summary:
DOS at the Fermi energy: 0.8946 states/eV/atom
SG: Immm, No. 71
Raw formation energy: -0.31 eV/atom
Total moment: 0.00 μB/atom
Uncorrected energy: -7.7444 eV per atom



- Among the records above, which one has the lowest uncorrected energy?
  Ti8TcSb2